Here is a relaxed Al3PdF crystal from the Alexandria database. Energies are from PBE.

Cell and atoms, written as POSCAR:
```
Al3PdF
1.0
-2.788 3.604 -1.206
-3.522 -3.012 -0.859
-1.428 0.393 4.474
Al Pd F
3 1 1
direct
0.500 0.000 0.000 Al
0.000 0.500 0.000 Al
0.000 0.000 0.500 Al
0.000 0.000 0.000 Pd
0.500 0.500 0.500 F
```

Summary:
Total energy   -21.2 eV for the cell shown

***

Here is a relaxed Pm2MnTl3S6 crystal from the Alexandria database. Energies are from PBE.

Cell and atoms, written as POSCAR:
```
Pm2MnTl3S6
1.0
6.861 0.103 -0.034
-3.340 5.994 -0.034
-1.211 -2.096 7.499
Tl S Pm Mn
3 6 2 1
direct
0.500 0.500 0.500 Tl
0.829 0.171 0.500 Tl
0.171 0.829 0.500 Tl
0.063 0.355 0.182 S
0.355 0.063 0.182 S
0.746 0.746 0.223 S
0.254 0.254 0.777 S
0.937 0.645 0.818 S
0.645 0.937 0.818 S
0.335 0.665 0.000 Pm
0.665 0.335 0.000 Pm
0.000 0.000 0.000 Mn
```

Summary:
Total energy   -63.5 eV for the cell shown

***

no.,ΔE_f (raw) (eV/atom)
1,-0.5753
2,-1.0807